[1]
This record from Alexandria describes crystalline Ac3Dy2Tl6 at its relaxed geometry. The functional is PBE.

Lattice parameters (Å, degrees): 15.009 15.009 15.009 160.55 160.55 27.64
Atoms (fractional coordinates):
Ac1 0.000 0.000 0.000
Ac2 0.197 0.197 0.000
Ac3 0.803 0.803 0.000
Dy1 0.444 0.444 0.000
Dy2 0.556 0.556 0.000
Tl1 0.113 0.613 0.500
Tl2 0.313 0.313 0.000
Tl3 0.387 0.887 0.500
Tl4 0.613 0.113 0.500
Tl5 0.687 0.687 0.000
Tl6 0.887 0.387 0.500

## Properties
E_form = -0.1794 eV per atom
Raw total energy = -37.7 eV for the cell shown
DOS at the Fermi energy = 0.8526 states/eV per atom
Calculated volume = 34.07 Å³ per atom

[2]
This record from Alexandria describes crystalline Ac5DyTl4 at its relaxed geometry. The functional is PBE.

Lattice parameters (Å, degrees): 3.947 3.947 23.151 90.00 90.00 90.00
Atoms (fractional coordinates):
Ac1 0.000 0.000 0.000
Ac2 0.000 0.000 0.196
Ac3 0.000 0.000 0.390
Ac4 0.000 0.000 0.610
Ac5 0.000 0.000 0.804
Dy1 0.500 0.500 0.500
Tl1 0.500 0.500 0.099
Tl2 0.500 0.500 0.294
Tl3 0.500 0.500 0.706
Tl4 0.500 0.500 0.901

## Properties
E_form = -0.2554 eV per atom
Raw total energy = -37.2 eV for the cell shown
DOS at the Fermi energy = 1.2181 states/eV per atom
Calculated volume = 36.07 Å³ per atom

[3]
This record from Alexandria describes crystalline AcDyTl6 at its relaxed geometry. The functional is PBE.

Lattice parameters (Å, degrees): 4.900 4.900 9.746 90.00 90.00 90.00
Atoms (fractional coordinates):
Ac1 0.000 0.000 0.000
Dy1 0.000 0.000 0.500
Tl1 0.000 0.500 0.262
Tl2 0.000 0.500 0.738
Tl3 0.500 0.000 0.262
Tl4 0.500 0.000 0.738
Tl5 0.500 0.500 0.000
Tl6 0.500 0.500 0.500

## Properties
E_form = -0.2715 eV per atom
Raw total energy = -25.1 eV for the cell shown
DOS at the Fermi energy = 0.2227 states/eV per atom
Calculated volume = 29.25 Å³ per atom

[4]
This record from Alexandria describes crystalline AcDy2TmTl4 at its relaxed geometry. The functional is PBE.

Lattice parameters (Å, degrees): 9.595 9.595 9.595 33.13 33.13 33.13
Atoms (fractional coordinates):
Ac1 0.000 0.000 0.000
Dy1 0.248 0.248 0.248
Dy2 0.752 0.752 0.752
Tm1 0.500 0.500 0.500
Tl1 0.129 0.129 0.129
Tl2 0.381 0.381 0.381
Tl3 0.619 0.619 0.619
Tl4 0.871 0.871 0.871

## Properties
E_form = -0.3013 eV per atom
Raw total energy = -29.7 eV for the cell shown
DOS at the Fermi energy = 0.7663 states/eV per atom
Calculated volume = 29.37 Å³ per atom

[5]
This record from Alexandria describes crystalline AcDyTm2Tl4 at its relaxed geometry. The functional is PBE.

Lattice parameters (Å, degrees): 9.557 9.557 9.557 33.19 33.19 33.19
Atoms (fractional coordinates):
Ac1 0.000 0.000 0.000
Dy1 0.500 0.500 0.500
Tm1 0.248 0.248 0.248
Tm2 0.752 0.752 0.752
Tl1 0.129 0.129 0.129
Tl2 0.380 0.380 0.380
Tl3 0.620 0.620 0.620
Tl4 0.871 0.871 0.871

## Properties
E_form = -0.2917 eV per atom
Raw total energy = -29.5 eV for the cell shown
DOS at the Fermi energy = 0.7511 states/eV per atom
Calculated volume = 29.11 Å³ per atom

[6]
This record from Alexandria describes crystalline AcDyTmTl at its relaxed geometry. The functional is PBE.

Lattice parameters (Å, degrees): 5.606 5.606 5.606 60.00 60.00 60.00
Atoms (fractional coordinates):
Ac1 0.000 0.000 0.000
Dy1 0.750 0.750 0.750
Tm1 0.250 0.250 0.250
Tl1 0.500 0.500 0.500

## Properties
E_form = 0.0769 eV per atom
Raw total energy = -15.2 eV for the cell shown
DOS at the Fermi energy = 1.6543 states/eV per atom
Calculated volume = 31.15 Å³ per atom